No. 1
First-principles (meta-GGA SCAN) data for a PBEsol-optimized structure of ScPH4O6, as listed in the Alexandria database.

Output
Its raw total energy is -8.458 eV per atom. Its magnetization is 0.00 μB per formula unit.

abc: 5.390 10.291 10.139
angles: 90.00 119.47 90.00
Space group P2_1/c (No. 14)
Symmetry-distinct sites (fractional):
Sc 0.118 0.174 0.206 x4
P 0.275 0.643 0.682 x4
H 0.088 0.043 0.754 x4
H 0.366 0.545 0.291 x4
H 0.370 0.167 0.530 x4
H 0.408 0.699 0.028 x4
O 0.077 0.672 0.748 x4
O 0.156 0.705 0.523 x4
O 0.161 0.549 0.265 x4
O 0.301 0.006 0.173 x4
O 0.404 0.156 0.442 x4
O 0.427 0.202 0.712 x4



No. 2
First-principles (meta-GGA SCAN) data for a PBEsol-optimized structure of LaGe2TeCl, as listed in the Alexandria database.

Output
Its raw total energy is -25.265 eV per atom. As for the raw formation energy: 0.0373 eV per atom. Its magnetization is 0.00 μB per formula unit.

abc: 5.185 5.185 6.078
angles: 90.00 90.00 90.00
Space group P4/mmm (No. 123)
Symmetry-distinct sites (fractional):
La 0.000 0.000 0.000 x1
Ge 0.000 0.500 0.500 x2
Te 0.000 0.000 0.500 x1
Cl 0.500 0.500 0.000 x1